Density functional theory data (PBE) for a geometry-optimized Pm2TmTh3Se6 structure.

a b c (Å): 4.097 8.504 9.495
angles (deg): 107.23 102.46 90.00
Fractional positions:
Pm (0.833, 0.667, 0.667)
Pm (0.167, 0.333, 0.333)
Se (0.332, 0.421, 0.664)
Se (0.340, 0.918, 0.679)
Se (0.000, 0.765, 0.000)
Se (0.000, 0.235, 0.000)
Se (0.660, 0.082, 0.321)
Se (0.668, 0.579, 0.336)
Tm (0.500, 0.000, 0.000)
Th (0.831, 0.166, 0.662)
Th (0.500, 0.500, 0.000)
Th (0.169, 0.834, 0.338)

Calculated values
Spin magnetization   0.00 Bohr magnetons per cell
Theoretical density   8.788 g/cm3
Formation energy from raw total energies   -1641.3 meV per atom